Entry 1:
Material: FePW2F
Method: DFT, PBE with a Hubbard U
State: optimized geometry

Cell lengths 5.1674, 5.1674, 4.2202 Å; angles 90.00, 90.00, 90.00 degrees
Closest atoms and distances in Å follow each position.
Space group P4/mmm (No. 123)
Symmetry-distinct sites (fractional):
Fe 0.0000 0.0000 0.0000 (multiplicity 1)  2 P 2.11
P 0.0000 0.0000 0.5000 (multiplicity 1)  2 Fe 2.11
W 0.0000 0.5000 0.0000 (multiplicity 2)  2 Fe 2.58
F 0.5000 0.5000 0.5000 (multiplicity 1)  8 W 3.34, 4 P 3.65

Its density of states at the Fermi level is 1.73 states/eV/cell. For the total magnetization, the calculation gives 5.293 μB per cell. The value obtained for the raw total energy is -4.186 eV/atom.

=====

Entry 2:
Material: Zr2FePF
Method: DFT, PBE with a Hubbard U
State: optimized geometry

Cell lengths 4.9910, 4.9910, 4.2181 Å; angles 90.00, 90.00, 90.00 degrees
Closest atoms and distances in Å follow each position.
Space group P4/mmm (No. 123)
Symmetry-distinct sites (fractional):
Zr 0.0000 0.5000 0.0000 (multiplicity 2)  2 P 2.50
Fe 0.0000 0.0000 0.5000 (multiplicity 1)  2 P 2.11
P 0.0000 0.0000 0.0000 (multiplicity 1)  2 Fe 2.11
F 0.5000 0.5000 0.5000 (multiplicity 1)  8 Zr 3.27, 4 Fe 3.53

Its density of states at the Fermi level is 4.71 states/eV/cell. For the total magnetization, the calculation gives 1.243 μB per cell. The value obtained for the raw total energy is -6.057 eV/atom.

=====

Entry 3:
Material: PaFe2F8
Method: DFT, PBE with a Hubbard U
State: optimized geometry

Cell lengths 9.4238, 6.6162, 5.2085 Å; angles 90.00, 99.76, 90.00 degrees
Closest atoms and distances in Å follow each position.
Space group C2/m (No. 12)
Symmetry-distinct sites (fractional):
Pa 0.0000 0.0000 0.0000 (multiplicity 2)  6 F 2.19-2.22
Fe 0.1512 0.5000 0.4130 (multiplicity 4)  5 F 1.97-2.14
F 0.0740 0.5000 0.7410 (multiplicity 4)  2 Fe 1.97-2.14
F 0.1458 0.2131 0.2477 (multiplicity 8)  1 Fe 2.08, 1 Pa 2.22
F 0.1485 0.0000 0.7182 (multiplicity 4)  1 Fe 2.11, 1 Pa 2.19

For the total magnetization, the calculation gives 18.000 μB per cell. The value obtained for the raw total energy is -6.226 eV/atom.

=====

- Look up the raw total energy of the first one.
  -4.186 eV/atom